No. 1
Density functional theory data (PBE) for a geometry-optimized Pu6BiSb5 structure.

spin magnetization: 0.88 μB/atom
crystal system: monoclinic
energy relative to the elements, uncorrected: -0.529 eV per atom
uncorrected energy: -9.736 eV per atom

Cell: 7.6971 13.3425 7.6971 Å, 90.00 109.45 90.00°
With the nearest neighbours (Å) after each atom.
Space group C2/m (No. 12)
One atom of each set of equivalent atoms:
Pu 0.2453 0.0000 0.2511 (multiplicity 4)  5 Sb 3.11-3.14, 1 Bi 3.18
Pu 0.2461 0.1690 0.7463 (multiplicity 8)  5 Sb 3.12-3.14, 1 Bi 3.19
Bi 0.0000 0.5000 0.0000 (multiplicity 2)  6 Pu 3.18-3.19
Sb 0.0000 0.0000 0.5000 (multiplicity 2)  6 Pu 3.11-3.14
Sb 0.0000 0.1674 0.0000 (multiplicity 4)  6 Pu 3.14
Sb 0.0000 0.3357 0.5000 (multiplicity 4)  6 Pu 3.12-3.14

No. 2
Density functional theory data (PBE) for a geometry-optimized Pu4BiSb structure.

spin magnetization: 4.19 μB/atom
crystal system: orthorhombic
energy relative to the elements, uncorrected: -0.127 eV per atom
uncorrected energy: -11.016 eV per atom

Cell: 5.1620 6.8481 9.0106 Å, 90.00 90.00 90.00°
With the nearest neighbours (Å) after each atom.
Space group Immm (No. 71)
One atom of each set of equivalent atoms:
Pu 0.0000 0.2471 0.1659 (multiplicity 8)  3 Pu 2.99
Bi 0.0000 0.0000 0.5000 (multiplicity 2)  2 Sb 3.42, 12 Pu 3.45
Sb 0.0000 0.5000 0.5000 (multiplicity 2)  2 Bi 3.42, 12 Pu 3.43-3.47